Entry 1:
Computed, not measured: crystalline Ac4Tl3Hg8 at its relaxed geometry at the PBE-GGA level of DFT.

```
30
Lattice="-7.8010 2.9930 -7.0098 -9.7037 -4.9752 0.1901 -8.8005 5.3476 3.5924" Properties=species:S:1:pos:R:3 pbc="T T T"
Tl -15.3271 -0.1484 -4.2149
Hg -16.5464 2.1169 -2.0300
Tl -14.8758 5.0093 -2.5149
Hg -7.6532 3.0233 1.3233
Hg -14.7666 -1.3190 -1.0992
Ac -4.8519 -2.4876 0.0951
Hg -7.1693 1.8832 -3.8103
Hg -11.5386 4.6844 -2.1281
Ac -3.9005 1.4965 -3.5049
Hg -9.7588 1.2485 -1.1973
Hg -13.7846 2.7931 -4.8148
Ac -13.1526 1.6827 -1.6136
Hg -12.0048 -0.6428 -3.8839
Hg -14.3004 4.0082 0.6566
Hg -8.0906 -1.9750 -0.3241
Hg -19.1359 1.4823 0.5830
Ac -9.2521 0.1862 1.8913
Hg -3.3921 0.4340 -0.4162
Ac -8.7524 -0.9911 -3.4099
Ac -8.3007 4.1703 -1.7087
Tl -11.4294 -1.6439 -0.7124
Hg -18.6519 0.3422 -4.5506
Ac 0.0000 0.0000 0.0000
Tl -10.4786 2.3374 -4.3099
Hg -12.5206 0.5723 1.5875
Ac -4.4002 2.6738 1.7962
Hg -22.9131 2.9315 -2.8111
Hg -18.2146 5.3404 -2.9032
Tl -10.9781 3.5139 0.9876
Tl -15.8265 1.0280 1.0826
```

Computed properties:
Space group: Fm-3m, No. 225
Formation energy from the elements, meV/atom: -360

***

Entry 2:
Computed, not measured: crystalline CaYRh2 at its relaxed geometry at the PBE-GGA level of DFT.

```
4
Lattice="-1.2974 3.5737 -2.2512 -1.5874 0.7336 -4.0576 -6.3363 -0.1095 1.1895" Properties=species:S:1:pos:R:3 pbc="T T T"
Rh -4.4625 2.1209 -2.6181
Rh -3.0328 4.2852 -6.2503
Ca -6.9158 3.1483 -3.8395
Y -2.3053 1.0494 -1.2798
```

Computed properties:
Distance to the lowest polymorph of the same formula, meV/atom: 327
Space group: C2/m, No. 12
Formation energy from the elements, meV/atom: -298

***

Entry 3:
Computed, not measured: crystalline TaTlIn at its relaxed geometry at the PBE-GGA level of DFT.

```
3
Lattice="5.7956 0.0110 -0.0013 3.5128 4.6098 0.0013 -4.3651 -2.8928 2.4834" Properties=species:S:1:pos:R:3 pbc="T T T"
Tl 6.2598 3.1074 0.0000
Ta 3.1733 1.5753 0.0000
In 9.1838 4.5589 0.0000
```

Computed properties:
Distance to the lowest polymorph of the same formula, meV/atom: 154
Space group: Imm2, No. 44
Formation energy from the elements, meV/atom: 586